Entry 1:
Compound: FeGe2Bi
Source: OQMD
Functional: GGA-PBE
Structure: relaxed

Final energy, eV per atom: -4.792
Density, g cm⁻³: 9.092

Structure (CIF):
```
data_FeGe2Bi
_chemical_formula_sum 'Fe4 Ge8 Bi4'
_cell_length_a 6.691
_cell_length_b 6.691
_cell_length_c 6.691
_cell_angle_alpha 90.00
_cell_angle_beta 90.00
_cell_angle_gamma 90.00
_symmetry_space_group_name_H-M 'F -4 3 m'
_symmetry_Int_Tables_number 216
_symmetry_space_group_name_Hall 'F -4 2 3'
loop_
_atom_site_label
_atom_site_type_symbol
_atom_site_fract_x
_atom_site_fract_y
_atom_site_fract_z
Fe1 Fe 0.000 0.000 0.000
Ge1 Ge 0.000 0.000 0.500
Ge2 Ge 0.250 0.250 0.250
Bi1 Bi 0.250 0.250 0.750
```



Entry 2:
Compound: YTaPO
Source: OQMD
Functional: GGA-PBE
Structure: relaxed

Final energy, eV per atom: -8.003
Density, g cm⁻³: 8.318

Structure (CIF):
```
data_YTaPO
_chemical_formula_sum 'Y2 Ta2 P2 O2'
_cell_length_a 4.102
_cell_length_b 4.102
_cell_length_c 7.519
_cell_angle_alpha 90.00
_cell_angle_beta 90.00
_cell_angle_gamma 90.00
_symmetry_space_group_name_H-M 'P 4/n m m'
_symmetry_Int_Tables_number 129
loop_
_symmetry_equiv_pos_as_xyz
'x,y,z'
'-x,-y,-z'
'-y+1/2,x,z'
'y+1/2,-x,-z'
'-x+1/2,-y+1/2,z'
'x+1/2,y+1/2,-z'
'y,-x+1/2,z'
'-y,x+1/2,-z'
'x+1/2,-y,-z'
'-x+1/2,y,z'
'-y,-x,-z'
'y,x,z'
'-x,y+1/2,-z'
'x,-y+1/2,z'
'y+1/2,x+1/2,-z'
'-y+1/2,-x+1/2,z'
loop_
_atom_site_label
_atom_site_type_symbol
_atom_site_fract_x
_atom_site_fract_y
_atom_site_fract_z
Y1 Y 0.250 0.750 0.000
Ta1 Ta 0.250 0.250 0.394
P1 P 0.250 0.250 0.747
O1 O 0.250 0.750 0.500
```



Entry 3:
Compound: ZrAlInTe3
Source: OQMD
Functional: GGA-PBE
Structure: relaxed

Final energy, eV per atom: -4.482
Density, g cm⁻³: 5.997

Structure (CIF):
```
data_ZrAlInTe3
_chemical_formula_sum 'Zr4 Al4 In4 Te12'
_cell_length_a 3.958
_cell_length_b 16.100
_cell_length_c 10.704
_cell_angle_alpha 90.00
_cell_angle_beta 90.00
_cell_angle_gamma 90.00
_symmetry_space_group_name_H-M 'C m c m'
_symmetry_Int_Tables_number 63
_symmetry_space_group_name_Hall '-C 2c 2'
loop_
_atom_site_label
_atom_site_type_symbol
_atom_site_fract_x
_atom_site_fract_y
_atom_site_fract_z
Zr1 Zr 0.000 0.000 0.000
Al1 Al 0.000 0.464 0.250
In1 In 0.000 0.241 0.750
Te1 Te 0.000 0.081 0.250
Te2 Te 0.000 0.364 0.049
```



Entry 4:
Compound: TbY2Bi3
Source: OQMD
Functional: GGA-PBE
Structure: relaxed

Final energy, eV per atom: -5.856
Density, g cm⁻³: 8.438

Structure (CIF):
```
data_TbY2Bi3
_chemical_formula_sum 'Tb1 Y2 Bi3'
_cell_length_a 4.4613
_cell_length_b 4.4613
_cell_length_c 11.0028
_cell_angle_alpha 90.00
_cell_angle_beta 90.00
_cell_angle_gamma 120.00
_symmetry_space_group_name_H-M 'P -3 m 1'
_symmetry_Int_Tables_number 164
_symmetry_space_group_name_Hall '-P 3 2"'
loop_
_atom_site_label
_atom_site_type_symbol
_atom_site_fract_x
_atom_site_fract_y
_atom_site_fract_z
Tb1 Tb 0.0000 0.0000 0.0000
Y1 Y 0.3333 0.6667 0.3334
Bi1 Bi 0.0000 0.0000 0.5000
Bi2 Bi 0.3333 0.6667 0.8333
```



Entry 5:
Compound: GdY2Cd3Au3
Source: OQMD
Functional: GGA-PBE
Structure: relaxed

Final energy, eV per atom: -4.014
Density, g cm⁻³: 10.118
DFT formation energy, kJ per mole of atoms: -65

Structure (CIF):
```
data_GdY2Cd3Au3
_chemical_formula_sum 'Gd2 Y4 Cd6 Au6'
_cell_length_a 3.929
_cell_length_b 13.522
_cell_length_c 7.804
_cell_angle_alpha 90.00
_cell_angle_beta 90.00
_cell_angle_gamma 90.00
_symmetry_space_group_name_H-M 'A m m 2'
_symmetry_Int_Tables_number 38
_symmetry_space_group_name_Hall 'A 2 -2'
loop_
_atom_site_label
_atom_site_type_symbol
_atom_site_fract_x
_atom_site_fract_y
_atom_site_fract_z
Gd1 Gd 0.000 0.000 0.000
Y1 Y 0.000 0.202 0.606
Cd1 Cd 0.500 0.000 0.665
Cd2 Cd 0.500 0.131 0.273
Au1 Au 0.000 0.000 0.404
Au2 Au 0.500 0.167 0.903
```



Entry 6:
Compound: Ba2LaNbO6
Source: OQMD
Functional: GGA-PBE
Structure: relaxed

Final energy, eV per atom: -7.824
Density, g cm⁻³: 6.206

Structure (CIF):
```
data_Ba2LaNbO6
_chemical_formula_sum 'Ba4 La2 Nb2 O12'
_cell_length_a 10.528
_cell_length_b 6.096
_cell_length_c 6.155
_cell_angle_alpha 90.00
_cell_angle_beta 125.29
_cell_angle_gamma 90.00
_symmetry_space_group_name_H-M 'C 1 2/m 1'
_symmetry_Int_Tables_number 12
_symmetry_space_group_name_Hall '-C 2y'
loop_
_atom_site_label
_atom_site_type_symbol
_atom_site_fract_x
_atom_site_fract_y
_atom_site_fract_z
Ba1 Ba 0.249 0.000 0.241
La1 La 0.000 0.000 0.500
Nb1 Nb 0.000 0.500 0.000
O1 O 0.041 0.267 0.814
O2 O 0.229 0.500 0.304
```



Entry 7:
Compound: Sc3CuS
Source: OQMD
Functional: GGA-PBE
Structure: relaxed

Final energy, eV per atom: -6.220
Density, g cm⁻³: 3.928

Structure (CIF):
```
data_Sc3CuS
_chemical_formula_sum 'Sc12 Cu4 S4'
_cell_length_a 3.575
_cell_length_b 11.556
_cell_length_c 9.435
_cell_angle_alpha 90.00
_cell_angle_beta 90.00
_cell_angle_gamma 90.00
_symmetry_space_group_name_H-M 'C m c m'
_symmetry_Int_Tables_number 63
_symmetry_space_group_name_Hall '-C 2c 2'
loop_
_atom_site_label
_atom_site_type_symbol
_atom_site_fract_x
_atom_site_fract_y
_atom_site_fract_z
Sc1 Sc 0.000 0.074 0.250
Sc2 Sc 0.000 0.355 0.071
Cu1 Cu 0.000 0.252 0.750
S1 S 0.000 0.000 0.000
```



Entry 8:
Compound: AcPaNO
Source: OQMD
Functional: GGA-PBE
Structure: relaxed

Final energy, eV per atom: -8.114
Density, g cm⁻³: 8.837

Structure (CIF):
```
data_AcPaNO
_chemical_formula_sum 'Ac2 Pa2 N2 O2'
_cell_length_a 4.056
_cell_length_b 6.965
_cell_length_c 6.492
_cell_angle_alpha 90.00
_cell_angle_beta 90.00
_cell_angle_gamma 90.00
_symmetry_space_group_name_H-M 'P m c 21'
_symmetry_Int_Tables_number 26
_symmetry_space_group_name_Hall 'P 2c -2'
loop_
_atom_site_label
_atom_site_type_symbol
_atom_site_fract_x
_atom_site_fract_y
_atom_site_fract_z
Ac1 Ac 0.000 0.160 0.000
Pa1 Pa 0.500 0.341 0.550
N1 N 0.500 0.372 0.894
O1 O 0.000 0.197 0.596
```



Entry 9:
Compound: TbTmNi2B2As2
Source: OQMD
Functional: GGA-PBE
Structure: relaxed

Final energy, eV per atom: -6.002
Density, g cm⁻³: 8.198

Structure (CIF):
```
data_TbTmNi2B2As2
_chemical_formula_sum 'Tb1 Tm1 Ni2 B2 As2'
_cell_length_a 3.908
_cell_length_b 3.908
_cell_length_c 8.179
_cell_angle_alpha 90.00
_cell_angle_beta 90.00
_cell_angle_gamma 90.00
_symmetry_space_group_name_H-M 'P 4 m m'
_symmetry_Int_Tables_number 99
_symmetry_space_group_name_Hall 'P 4 -2'
loop_
_atom_site_label
_atom_site_type_symbol
_atom_site_fract_x
_atom_site_fract_y
_atom_site_fract_z
Tb1 Tb 0.000 0.000 0.000
Tm1 Tm 0.500 0.500 0.457
Ni1 Ni 0.000 0.500 0.727
B1 B 0.000 0.000 0.637
B2 B 0.500 0.500 0.822
As1 As 0.000 0.000 0.379
As2 As 0.500 0.500 0.082
```



Entry 10:
Compound: KCuSn
Source: OQMD
Functional: GGA-PBE
Structure: relaxed

Final energy, eV per atom: -2.014
Density, g cm⁻³: 3.649

Structure (CIF):
```
data_KCuSn
_chemical_formula_sum 'K4 Cu4 Sn4'
_cell_length_a 7.386
_cell_length_b 7.386
_cell_length_c 7.386
_cell_angle_alpha 90.00
_cell_angle_beta 90.00
_cell_angle_gamma 90.00
_symmetry_space_group_name_H-M 'F -4 3 m'
_symmetry_Int_Tables_number 216
_symmetry_space_group_name_Hall 'F -4 2 3'
loop_
_atom_site_label
_atom_site_type_symbol
_atom_site_fract_x
_atom_site_fract_y
_atom_site_fract_z
K1 K 0.000 0.000 0.000
Cu1 Cu 0.250 0.250 0.750
Sn1 Sn 0.250 0.250 0.250
```



Entry 11:
Compound: YLuPt2
Source: OQMD
Functional: GGA-PBE
Structure: relaxed

Final energy, eV per atom: -7.070
Density, g cm⁻³: 12.606
DFT formation energy, kJ per mole of atoms: -125

Structure (CIF):
```
data_YLuPt2
_chemical_formula_sum 'Y2 Lu2 Pt4'
_cell_length_a 4.468
_cell_length_b 5.540
_cell_length_c 6.961
_cell_angle_alpha 90.00
_cell_angle_beta 90.00
_cell_angle_gamma 90.00
_symmetry_space_group_name_H-M 'P m c 21'
_symmetry_Int_Tables_number 26
_symmetry_space_group_name_Hall 'P 2c -2'
loop_
_atom_site_label
_atom_site_type_symbol
_atom_site_fract_x
_atom_site_fract_y
_atom_site_fract_z
Y1 Y 0.000 0.110 0.000
Lu1 Lu 0.500 0.391 0.637
Pt1 Pt 0.000 0.407 0.364
Pt2 Pt 0.500 0.097 0.275
```



Entry 12:
Compound: HoMg
Source: OQMD
Functional: GGA-PBE
Structure: relaxed

Final energy, eV per atom: -3.100
Density, g cm⁻³: 5.773

Structure (CIF):
```
data_HoMg
_chemical_formula_sum 'Ho4 Mg4'
_cell_length_a 3.614
_cell_length_b 5.370
_cell_length_c 11.222
_cell_angle_alpha 90.00
_cell_angle_beta 90.00
_cell_angle_gamma 90.00
_symmetry_space_group_name_H-M 'P m m n'
_symmetry_Int_Tables_number 59
loop_
_symmetry_equiv_pos_as_xyz
'x,y,z'
'-x,-y,-z'
'-x+1/2,-y+1/2,z'
'x+1/2,y+1/2,-z'
'x+1/2,-y,-z'
'-x+1/2,y,z'
'-x,y+1/2,-z'
'x,-y+1/2,z'
loop_
_atom_site_label
_atom_site_type_symbol
_atom_site_fract_x
_atom_site_fract_y
_atom_site_fract_z
Ho1 Ho 0.250 0.250 0.040
Ho2 Ho 0.250 0.750 0.234
Mg1 Mg 0.250 0.250 0.516
Mg2 Mg 0.250 0.750 0.707
```



Entry 13:
Compound: Sm3Mg3Zn2Au
Source: OQMD
Functional: GGA-PBE
Structure: relaxed

Final energy, eV per atom: -3.127
Density, g cm⁻³: 6.605

Structure (CIF):
```
data_Sm3Mg3Zn2Au
_chemical_formula_sum 'Sm3 Mg3 Zn2 Au1'
_cell_length_a 7.6794
_cell_length_b 7.6794
_cell_length_c 4.1929
_cell_angle_alpha 90.00
_cell_angle_beta 90.00
_cell_angle_gamma 120.00
_symmetry_space_group_name_H-M 'P -6 2 m'
_symmetry_Int_Tables_number 189
_symmetry_space_group_name_Hall 'P -6 -2'
loop_
_atom_site_label
_atom_site_type_symbol
_atom_site_fract_x
_atom_site_fract_y
_atom_site_fract_z
Sm1 Sm 0.0000 0.4110 0.0000
Mg1 Mg 0.0000 0.7558 0.5000
Zn1 Zn 0.3333 0.6667 0.5000
Au1 Au 0.0000 0.0000 0.0000
```